## YHoTlHg (PBE)

Data for a geometry-optimized YHoTlHg structure.

POSCAR file:
```
YHoTlHg
1.0
3.7599 0.0000 0.0000
0.0000 3.7599 0.0000
0.0000 0.0000 7.4990
Y Ho Tl Hg
1 1 1 1
Direct
0.0000 0.0000 0.0000
0.0000 0.0000 0.5173
0.5000 0.5000 0.2600
0.5000 0.5000 0.7546
```

Results
* formation enthalpy at 0 K: -0.43 eV/atom
* E: -3.853 eV/atom
* excess energy over the best structure of this formula in the dataset: 0.000 eV/atom
* space group: P4mm